Record 1
A relaxed Mn4ZnCu3O12 crystal, computed with PBE+U.

a b c (Å): 6.376 6.376 6.376
angles (deg): 109.47 109.47 109.47
Fractional positions:
1 Mn 0.000 0.000 0.500
2 O 0.691 0.862 0.170
3 Mn 0.000 0.500 0.000
4 O 0.138 0.830 0.309
5 O 0.830 0.309 0.138
6 O 0.479 0.170 0.309
7 O 0.170 0.309 0.479
8 O 0.521 0.830 0.691
9 Mn 0.500 0.500 0.500
10 Zn 0.000 0.000 0.000
11 Cu 0.500 0.000 0.500
12 O 0.309 0.138 0.830
13 O 0.309 0.479 0.170
14 O 0.691 0.521 0.830
15 Cu 0.500 0.500 0.000
16 O 0.862 0.170 0.691
17 O 0.830 0.691 0.521
18 O 0.170 0.691 0.862
19 Cu 0.000 0.500 0.500
20 Mn 0.500 0.000 0.000

Calculated values
As for the calculated total energy: -6.18 eV/atom. The space group is No. 204.

Record 2
A relaxed ZrMn2CuO6 crystal, computed with PBE+U.

a b c (Å): 5.292 5.431 5.487
angles (deg): 66.95 62.35 57.88
Fractional positions:
1 Mn 0.522 0.515 0.453
2 Cu 0.313 0.314 0.060
3 Zr 0.819 0.806 0.568
4 O 0.906 0.571 0.276
5 O 0.136 0.428 0.745
6 O 0.622 0.224 0.247
7 O 0.720 0.115 0.776
8 O 0.402 0.776 0.701
9 Mn 0.015 0.033 0.951
10 O 0.207 0.879 0.238

Calculated values
As for the calculated total energy: -7.52 eV/atom. The space group is No. 1.

| no. | ρ (Mg/m³) |
| --- | --- |
| 1 | 5.6 |
| 2 | 5.2 |